Entry from the Alexandria database: a relaxed Li2MnIn crystal (PBE-GGA).

Cell: 4.5343 2.9006 5.5145 Å, 78.87 90.00 90.00°
Atoms (fractional coordinates):
Mn (0.0000, 0.4449, 0.5117)
In (0.5000, 0.8048, 0.7367)
Li (0.0000, 0.0220, 0.0132)
Li (0.5000, 0.2283, 0.2384)

Output
SG ... No. 6
D(E_F) ... 0.365 states/eV per atom

Entry from the Alexandria database: a relaxed LiMn2In crystal (PBE-GGA).

Cell: 2.8879 3.9298 5.7561 Å, 90.00 90.00 90.00°
Atoms (fractional coordinates):
In (0.0000, 0.0000, 0.4963)
Mn (0.0000, 0.0000, 0.0070)
Mn (0.5000, 0.5000, 0.2335)
Li (0.5000, 0.5000, 0.7633)

Output
SG ... No. 25
D(E_F) ... 0.818 states/eV per atom

Entry from the Alexandria database: a relaxed LiMn2In crystal (PBE-GGA).

Cell: 4.8398 4.8398 4.8398 Å, 129.46 129.37 74.34°
Atoms (fractional coordinates):
Mn (0.7501, 0.2501, 0.5000)
Li (0.2499, 0.7499, 0.5000)
Mn (0.0000, 0.0000, 0.0000)
In (0.5000, 0.5000, 0.0000)

Output
SG ... No. 119
D(E_F) ... 1.020 states/eV per atom

Calculated energy in order - -15.440 -21.984 -22.013 eV/cell
Calculated energy relative to the elements in order - 74 252 245 meV per atom
Calculated total magnetization in order - 3.9 6.8 7.3 μB per formula unit